Computed, not measured: a relaxed CaAlRh2W crystal at the PBE level of DFT.

CIF file:
```
data_CaAlRh2W
_cell_length_a 4.483
_cell_length_b 4.951
_cell_length_c 4.483
_cell_angle_alpha 90.00
_cell_angle_beta 90.00
_cell_angle_gamma 90.00
_space_group_name_H-M_alt 'P 1'
_space_group_IT_number 1
loop_
_space_group_symop_operation_xyz
'x,y,z'
loop_
_atom_site_label
_atom_site_fract_x
_atom_site_fract_y
_atom_site_fract_z
Rh1 0.000 0.000 0.500
Rh2 0.500 0.000 0.000
Al1 0.000 0.000 0.000
Ca1 0.000 0.500 0.000
W1 0.500 0.500 0.500
```

Values from the calculation:
N(E_F): 3.9 states/eV per cell
ρ: 7623 kg/m³
Symmetry: No. 123

Computed, not measured: a relaxed Rb4Er3AlS8 crystal at the PBE level of DFT.

CIF file:
```
data_Rb4Er3AlS8
_cell_length_a 7.929
_cell_length_b 8.925
_cell_length_c 7.931
_cell_angle_alpha 116.40
_cell_angle_beta 119.99
_cell_angle_gamma 90.00
_space_group_name_H-M_alt 'P 1'
_space_group_IT_number 1
loop_
_space_group_symop_operation_xyz
'x,y,z'
loop_
_atom_site_label
_atom_site_fract_x
_atom_site_fract_y
_atom_site_fract_z
Er1 0.000 0.500 0.500
Er2 0.500 0.500 0.500
Er3 0.500 0.500 0.000
S1 0.783 0.317 0.034
S2 0.217 0.683 0.966
S3 0.218 0.683 0.435
S4 0.749 0.683 0.966
S5 0.782 0.317 0.565
S6 0.269 0.308 0.538
S7 0.251 0.317 0.034
S8 0.731 0.692 0.462
Al1 0.000 0.500 0.000
Rb1 0.000 0.000 0.500
Rb2 0.500 0.000 0.000
Rb3 0.500 0.000 0.500
Rb4 0.000 0.000 0.000
```

Values from the calculation:
Formation energy from raw total energies: -1.6269 eV per atom
ρ: 4487 kg/m³
Symmetry: No. 166

Number 1: raw total energy -5.6228 eV per atom. Number 2: raw total energy -5.0220 eV per atom.